The following is a DFT calculation (PBE) of an optimized crystal structure of Ac4Hg2RhSe.

abc: 7.9414 4.3637 8.3296
angles: 90.00 106.49 90.00
Sites, in units of the cell vectors:
1 Ac 0.2191 0.0000 0.2120
2 Ac 0.2381 0.5000 0.7804
3 Ac 0.7619 0.5000 0.2196
4 Ac 0.7809 0.0000 0.7880
5 Hg 0.0000 0.0000 0.5000
6 Hg 0.5000 0.5000 0.5000
7 Rh 0.0000 0.5000 0.0000
8 Se 0.5000 0.0000 0.0000

Summary:
The calculation puts the spin magnetization at 0.00 μB/f.u. The value obtained for the formation energy from raw total energies is -821 meV/atom. The calculation puts the total energy at -34.44 eV per cell. The value obtained for the density of states at the Fermi level is 0.92 states/eV/atom.